An optimized crystal structure of CaZrTc3. Source: Alexandria via LeMat-Bulk, functional GGA-PBE.

calculated formation energy = 6.9 eV per formula unit
DOS(E_F) = 6.33 states/eV/f.u.
volume = 116 Å³/f.u.
ΔE to the lowest computed polymorph = 0 meV/atom
raw total energy = -6.949 eV per atom

```
data_CaZrTc3
_chemical_formula_sum 'Ca1 Zr1 Tc3'
_space_group_name_H-M_alt 'P m -3 m'
_space_group_IT_number 221
_space_group_name_Hall '-P 4 2 3'
_cell_length_a 4.880
_cell_length_b 4.880
_cell_length_c 4.880
_cell_angle_alpha 90.00
_cell_angle_beta 90.00
_cell_angle_gamma 90.00
loop_
_atom_site_label
_atom_site_type_symbol
_atom_site_fract_x
_atom_site_fract_y
_atom_site_fract_z
Ca1 Ca 0.000 0.000 0.000
Zr1 Zr 0.500 0.500 0.500
Tc1 Tc 0.000 0.500 0.500
```